The following is a PBE+U calculation of Mn2InF2 after structural relaxation, from the Alexandria database.

Cell lengths 7.862, 7.862, 2.945 Å; angles 90.00, 90.00, 90.00 degrees
Positions (direct):
F1 0.105 0.605 0.500
F2 0.605 0.895 0.500
F3 0.895 0.395 0.500
F4 0.395 0.105 0.500
Mn1 0.368 0.868 0.000
Mn2 0.868 0.632 0.000
Mn3 0.632 0.132 0.000
Mn4 0.132 0.368 0.000
In1 0.000 0.000 0.000
In2 0.500 0.500 0.000

Output
- Space group: P4/mbm, No. 127
- Density: 4.79 Mg/m³
- E above lowest polymorph: 439 meV per atom